(1)
DFT (PBEsol) results for a relaxed structure of CaAlFe2Ru.

abc: 4.436 4.436 4.515
angles: 90.00 90.00 90.00
Space group P4/mmm (No. 123)
Asymmetric unit:
Ca 0.000 0.000 0.000 x1
Al 0.500 0.500 0.500 x1
Fe 0.000 0.500 0.500 x2
Ru 0.500 0.500 0.000 x1

Results
DFT formation energy = 76.8 kJ per mole of atoms
spin magnetization = 5.06 μB/f.u.



(2)
DFT (PBEsol) results for a relaxed structure of Ca2AlFeSb.

abc: 5.236 5.236 4.740
angles: 90.00 90.00 90.00
Space group P4/mmm (No. 123)
Asymmetric unit:
Ca 0.000 0.500 0.000 x2
Al 0.000 0.000 0.500 x1
Fe 0.500 0.500 0.000 x1
Sb 0.500 0.500 0.500 x1

Results
raw total energy = -4.24 eV per atom
spin magnetization = 1.24 μB/f.u.



(3)
DFT (PBEsol) results for a relaxed structure of Ca2AlGa.

abc: 7.280 7.280 7.280
angles: 90.00 90.00 90.00
Space group Fm-3m (No. 225)
Asymmetric unit:
Ca 0.250 0.250 0.250 x8
Al 0.000 0.000 0.000 x4
Ga 0.000 0.000 0.500 x4

Results
DFT formation energy = -30.5 kJ per mole of atoms
spin magnetization = 0.00 μB/f.u.



Please write out number 1 again, unchanged.
DFT (PBEsol) results for a relaxed structure of CaAlFe2Ru.

abc: 4.436 4.436 4.515
angles: 90.00 90.00 90.00
Space group P4/mmm (No. 123)
Asymmetric unit:
Ca 0.000 0.000 0.000 x1
Al 0.500 0.500 0.500 x1
Fe 0.000 0.500 0.500 x2
Ru 0.500 0.500 0.000 x1

Results
DFT formation energy = 76.8 kJ per mole of atoms
spin magnetization = 5.06 μB/f.u.



> Which of these has the lowest spin magnetization?

Ca2AlGa